Entry from Alexandria via LeMat-Bulk: a crystal of YHg2Au relaxed with PBEsol (meta-GGA SCAN).

a b c (Å): 4.926 4.926 4.926
angles (deg): 121.10 121.10 88.10
Sites, in units of the cell vectors:
Y: 0.000 0.000 0.000
Hg: 0.250 0.750 0.500
Hg: 0.750 0.250 0.500
Au: 0.500 0.500 0.000

Results
- electronic total energy (eV/f.u.) = -235.59
- DOS at the Fermi energy (states/eV per cell) = 1.30
- energy relative to the elements (kJ/mol of formula units) = -218
- space group = I4/mmm, No. 139